Record 1
Here is a PBEsol-optimized structure of K2ScFe from the Alexandria database. Energies are from meta-GGA SCAN.

The structure in CIF format:
```
data_K2ScFe
_chemical_formula_sum 'K8 Sc4 Fe4'
_cell_length_a 8.0227
_cell_length_b 8.0227
_cell_length_c 8.0227
_cell_angle_alpha 90.00
_cell_angle_beta 90.00
_cell_angle_gamma 90.00
_space_group_name_H-M_alt 'F m -3 m'
_space_group_IT_number 225
_space_group_name_Hall '-F 4 2 3'
loop_
_atom_site_label
_atom_site_type_symbol
_atom_site_fract_x
_atom_site_fract_y
_atom_site_fract_z
K1 K 0.2500 0.2500 0.2500
Sc1 Sc 0.0000 0.0000 0.0000
Fe1 Fe 0.0000 0.0000 0.5000
```

Summary:
**Offset from the most stable computed form**: 22.1 kJ/mol of atoms
**Total moment**: 0.385 μB per atom
**Formation energy from the elements**: 4.77 eV per formula unit

---

Record 2
Here is a PBEsol-optimized structure of K2ScFe from the Alexandria database. Energies are from meta-GGA SCAN.

The structure in CIF format:
```
data_K2ScFe
_chemical_formula_sum 'K4 Sc2 Fe2'
_cell_length_a 3.4675
_cell_length_b 5.2772
_cell_length_c 12.2869
_cell_angle_alpha 90.00
_cell_angle_beta 90.00
_cell_angle_gamma 90.00
_space_group_name_H-M_alt 'C m m m'
_space_group_IT_number 65
_space_group_name_Hall '-C 2 2'
loop_
_atom_site_label
_atom_site_type_symbol
_atom_site_fract_x
_atom_site_fract_y
_atom_site_fract_z
K1 K 0.0000 0.0000 0.2225
Sc1 Sc 0.0000 0.5000 0.5000
Fe1 Fe 0.0000 0.5000 0.0000
```

Summary:
**Offset from the most stable computed form**: 6.4 kJ/mol of atoms
**Total moment**: 0.718 μB per atom
**Formation energy from the elements**: 4.11 eV per formula unit

---

Record 3
Here is a PBEsol-optimized structure of K2ScFe from the Alexandria database. Energies are from meta-GGA SCAN.

The structure in CIF format:
```
data_K2ScFe
_chemical_formula_sum 'K2 Sc1 Fe1'
_cell_length_a 4.2524
_cell_length_b 4.2524
_cell_length_c 6.2032
_cell_angle_alpha 90.00
_cell_angle_beta 90.00
_cell_angle_gamma 90.00
_space_group_name_H-M_alt 'P 4/m m m'
_space_group_IT_number 123
_space_group_name_Hall '-P 4 2'
loop_
_atom_site_label
_atom_site_type_symbol
_atom_site_fract_x
_atom_site_fract_y
_atom_site_fract_z
K1 K 0.0000 0.5000 0.0000
Sc1 Sc 0.0000 0.0000 0.5000
Fe1 Fe 0.5000 0.5000 0.5000
```

Summary:
**Offset from the most stable computed form**: 0.0 kJ/mol of atoms
**Total moment**: 0.521 μB per atom
**Formation energy from the elements**: 3.85 eV per formula unit

---

Record 4
Here is a PBEsol-optimized structure of K2FeSe from the Alexandria database. Energies are from meta-GGA SCAN.

The structure in CIF format:
```
data_K2FeSe
_chemical_formula_sum 'K4 Fe2 Se2'
_cell_length_a 4.6581
_cell_length_b 4.6581
_cell_length_c 9.5592
_cell_angle_alpha 90.00
_cell_angle_beta 90.00
_cell_angle_gamma 90.00
_space_group_name_H-M_alt 'I 4/m m m'
_space_group_IT_number 139
_space_group_name_Hall '-I 4 2'
loop_
_atom_site_label
_atom_site_type_symbol
_atom_site_fract_x
_atom_site_fract_y
_atom_site_fract_z
K1 K 0.0000 0.5000 0.2500
Fe1 Fe 0.0000 0.0000 0.0000
Se1 Se 0.0000 0.0000 0.5000
```

Summary:
**Formation energy without anion corrections**: 136 meV per atom
**Total moment**: 0.769 μB per atom

---

Record 5
Here is a PBEsol-optimized structure of K3Fe8Se8 from the Alexandria database. Energies are from meta-GGA SCAN.

The structure in CIF format:
```
data_K3Fe8Se8
_chemical_formula_sum 'K3 Fe8 Se8'
_cell_length_a 7.2762
_cell_length_b 7.9304
_cell_length_c 8.0409
_cell_angle_alpha 95.62
_cell_angle_beta 116.89
_cell_angle_gamma 103.25
_space_group_name_H-M_alt 'P -1'
_space_group_IT_number 2
_space_group_name_Hall '-P 1'
loop_
_atom_site_label
_atom_site_type_symbol
_atom_site_fract_x
_atom_site_fract_y
_atom_site_fract_z
K1 K 0.0000 0.0000 0.0000
K2 K 0.2639 0.9998 0.5278
Fe1 Fe 0.0614 0.4987 0.8747
Fe2 Fe 0.1885 0.5019 0.6261
Fe3 Fe 0.3124 0.4998 0.3748
Fe4 Fe 0.4378 0.5029 0.1252
Se1 Se 0.0171 0.7155 0.6793
Se2 Se 0.2310 0.2845 0.8221
Se3 Se 0.2669 0.7167 0.1781
Se4 Se 0.4797 0.2844 0.3198
```

Summary:
**Formation energy without anion corrections**: -573 meV per atom
**Total moment**: 1.254 μB per atom

---

Record 6
Here is a PBEsol-optimized structure of K3FeSe3 from the Alexandria database. Energies are from meta-GGA SCAN.

The structure in CIF format:
```
data_K3FeSe3
_chemical_formula_sum 'K12 Fe4 Se12'
_cell_length_a 7.9444
_cell_length_b 12.7799
_cell_length_c 10.3388
_cell_angle_alpha 90.00
_cell_angle_beta 127.99
_cell_angle_gamma 90.00
_space_group_name_H-M_alt 'P 1 21/c 1'
_space_group_IT_number 14
_space_group_name_Hall '-P 2ybc'
loop_
_atom_site_label
_atom_site_type_symbol
_atom_site_fract_x
_atom_site_fract_y
_atom_site_fract_z
K1 K 0.1139 0.1344 0.4783
K2 K 0.1442 0.0683 0.8975
K3 K 0.3831 0.6938 0.5887
Fe1 Fe 0.4398 0.0538 0.3530
Se1 Se 0.1415 0.1654 0.1891
Se2 Se 0.3530 0.6180 0.8745
Se3 Se 0.3749 0.5462 0.2554
```

Summary:
**Formation energy without anion corrections**: -1071 meV per atom
**Total moment**: 0.566 μB per atom

---

Record 7
Here is a PBEsol-optimized structure of K2FeSe from the Alexandria database. Energies are from meta-GGA SCAN.

The structure in CIF format:
```
data_K2FeSe
_chemical_formula_sum 'K8 Fe4 Se4'
_cell_length_a 7.4204
_cell_length_b 7.4204
_cell_length_c 7.4204
_cell_angle_alpha 90.00
_cell_angle_beta 90.00
_cell_angle_gamma 90.00
_space_group_name_H-M_alt 'F -4 3 m'
_space_group_IT_number 216
_space_group_name_Hall 'F -4 2 3'
loop_
_atom_site_label
_atom_site_type_symbol
_atom_site_fract_x
_atom_site_fract_y
_atom_site_fract_z
K1 K 0.0000 0.0000 0.0000
K2 K 0.2500 0.2500 0.2500
Fe1 Fe 0.2500 0.2500 0.7500
Se1 Se 0.0000 0.0000 0.5000
```

Summary:
**Formation energy without anion corrections**: 62 meV per atom
**Total moment**: 0.961 μB per atom

---

Record 8
Here is a PBEsol-optimized structure of K2FeSe from the Alexandria database. Energies are from meta-GGA SCAN.

The structure in CIF format:
```
data_K2FeSe
_chemical_formula_sum 'K2 Fe1 Se1'
_cell_length_a 4.6207
_cell_length_b 4.6207
_cell_length_c 4.7836
_cell_angle_alpha 90.00
_cell_angle_beta 90.00
_cell_angle_gamma 90.00
_space_group_name_H-M_alt 'P 4/m m m'
_space_group_IT_number 123
_space_group_name_Hall '-P 4 2'
loop_
_atom_site_label
_atom_site_type_symbol
_atom_site_fract_x
_atom_site_fract_y
_atom_site_fract_z
K1 K 0.0000 0.5000 0.0000
Fe1 Fe 0.0000 0.0000 0.5000
Se1 Se 0.5000 0.5000 0.5000
```

Summary:
**Formation energy without anion corrections**: 114 meV per atom
**Total moment**: 0.742 μB per atom

---

no.,electronic total energy (eV/atom)
1,-11.06
2,-11.23
3,-11.29
4,-13.58
5,-17.98
6,-15.84
7,-13.65
8,-13.60